First-principles (PBE-GGA) data for a relaxed CuSb2Xe4F20 crystal, as listed in the Open Quantum Materials Database.

Values from the calculation:
**Total energy**: -0.2324 Ry per atom

Unit cell a=8.267 b=8.267 c=8.267 alpha=103.55 beta=103.55 gamma=122.10
Fractional coordinates of all 27 atoms:
Cu  0.000  0.000  0.000
Sb  0.250  0.750  0.500
Sb  0.500  0.500  0.000
Xe  0.018  0.149  0.432
Xe  0.414  0.982  0.131
Xe  0.717  0.586  0.568
Xe  0.851  0.283  0.869
F  0.010  0.510  0.500
F  0.018  0.849  0.794
F  0.054  0.223  0.206
F  0.092  0.853  0.465
F  0.147  0.612  0.239
F  0.151  0.946  0.169
F  0.261  0.261  0.000
F  0.320  0.558  0.885
F  0.373  0.908  0.761
F  0.388  0.627  0.535
F  0.432  0.333  0.363
F  0.442  0.327  0.762
F  0.490  0.990  0.500
F  0.565  0.680  0.238
F  0.667  0.030  0.099
F  0.673  0.435  0.115
F  0.739  0.739  0.000
F  0.777  0.982  0.831
F  0.931  0.568  0.901
F  0.970  0.069  0.637